Entry 1:
Rb3AsRu | PBEsol | optimized geometry

The space group is Pm-3m (No. 221) and the conventional cell measures 5.538, 5.538 and 5.538 Å, with angles of 90.00, 90.00 and 90.00 degrees. Symmetry generates all atoms from Rb at (0.000, 0.000, 0.500), As at (0.500, 0.500, 0.500) and Ru at (0.000, 0.000, 0.000).

As for the total magnetization: 0.31 μB per atom. Its density of states at the Fermi level is 4.872 states/eV/f.u. The crystal system is cubic. For the energy, the calculation gives -2.51 eV per atom. For the formation energy from the elements, the calculation gives 1159 meV per atom.

***

Entry 2:
RbAs2Ru2 | PBEsol | optimized geometry

The space group is I4/mmm (No. 139) and the conventional cell measures 4.027, 4.027 and 13.529 Å, with angles of 90.00, 90.00 and 90.00 degrees. Symmetry generates all atoms from Rb at (0.000, 0.000, 0.000), As at (0.000, 0.000, 0.348) and Ru at (0.000, 0.500, 0.250).

As for the total magnetization: 0.00 μB per atom. Its density of states at the Fermi level is 2.852 states/eV/f.u. The crystal system is tetragonal. For the energy, the calculation gives -6.67 eV per atom. For the formation energy from the elements, the calculation gives -349 meV per atom.

***

Entry 3:
Rb2AsS | PBEsol | optimized geometry

The space group is Fm-3m (No. 225) and the conventional cell measures 8.000, 8.000 and 8.000 Å, with angles of 90.00, 90.00 and 90.00 degrees. Symmetry generates all atoms from Rb at (0.250, 0.250, 0.250), As at (0.000, 0.000, 0.000) and S at (0.000, 0.000, 0.500).

As for the total magnetization: 0.73 μB per atom. Its raw formation energy is -78 meV per atom. Its density of states at the Fermi level is 1.860 states/eV/f.u. The crystal system is cubic. For the energy, the calculation gives -2.96 eV per atom.

***

Entry 4:
RbAs3S | PBEsol | optimized geometry

The space group is Pm-3m (No. 221) and the conventional cell measures 5.484, 5.484 and 5.484 Å, with angles of 90.00, 90.00 and 90.00 degrees. Symmetry generates all atoms from Rb at (0.000, 0.000, 0.000), As at (0.000, 0.000, 0.500) and S at (0.500, 0.500, 0.500).

As for the total magnetization: 0.43 μB per atom. Its raw formation energy is 2167 meV per atom. Its density of states at the Fermi level is 7.302 states/eV/f.u. The crystal system is cubic. For the energy, the calculation gives -1.98 eV per atom.

***

Entry 5:
Rb2AsS | PBEsol | optimized geometry

The space group is I-42d (No. 122) and the conventional cell measures 12.088, 12.088 and 4.969 Å, with angles of 90.00, 90.00 and 90.00 degrees. Symmetry generates all atoms from Rb at (0.048, 0.750, 0.125), As at (0.000, 0.000, 0.500) and S at (0.000, 0.000, 0.000).

As for the total magnetization: 0.00 μB per atom. Its raw formation energy is -348 meV per atom. Its density of states at the Fermi level is 3.260 states/eV/f.u. The crystal system is tetragonal. For the energy, the calculation gives -3.23 eV per atom.

***

Entry 6:
Rb2SbAs | PBEsol | optimized geometry

The space group is I-42d (No. 122) and the conventional cell measures 12.879, 12.879 and 5.415 Å, with angles of 90.00, 90.00 and 90.00 degrees. Symmetry generates all atoms from Rb at (0.049, 0.750, 0.125), Sb at (0.000, 0.000, 0.500) and As at (0.000, 0.000, 0.000).

As for the total magnetization: 0.00 μB per atom. Its raw formation energy is -100 meV per atom. Its density of states at the Fermi level is 2.031 states/eV/f.u. The crystal system is tetragonal. For the energy, the calculation gives -3.03 eV per atom.

***

Entry 7:
RbSb2As2 | PBEsol | optimized geometry

The space group is I4/mmm (No. 139) and the conventional cell measures 5.242, 5.242 and 11.053 Å, with angles of 90.00, 90.00 and 90.00 degrees. Symmetry generates all atoms from Rb at (0.000, 0.000, 0.000), Sb at (0.000, 0.000, 0.341) and As at (0.000, 0.500, 0.250).

As for the total magnetization: 0.00 μB per atom. Its raw formation energy is -142 meV per atom. Its density of states at the Fermi level is 1.408 states/eV/f.u. The crystal system is tetragonal. For the energy, the calculation gives -4.21 eV per atom.

***

Entry 8:
Rb2Sb2As | PBEsol | optimized geometry

The space group is P4/mbm (No. 127) and the conventional cell measures 7.596, 7.596 and 5.778 Å, with angles of 90.00, 90.00 and 90.00 degrees. Symmetry generates all atoms from Rb at (0.176, 0.324, 0.000), Sb at (0.133, 0.633, 0.500) and As at (0.000, 0.000, 0.500).

As for the total magnetization: 0.00 μB per atom. Its raw formation energy is -209 meV per atom. Its density of states at the Fermi level is 2.599 states/eV/f.u. The crystal system is tetragonal. For the energy, the calculation gives -3.46 eV per atom.